# TcSb2Ru | the Alexandria database | PBE | relaxed
data_TcSb2Ru
_chemical_formula_sum 'Tc1 Sb2 Ru1'
_space_group_name_H-M_alt 'P 1'
_space_group_IT_number 1
_cell_length_a 4.729
_cell_length_b 4.729
_cell_length_c 4.729
_cell_angle_alpha 60.00
_cell_angle_beta 60.00
_cell_angle_gamma 60.00
loop_
_space_group_symop_operation_xyz
'x,y,z'
loop_
_atom_site_label
_atom_site_fract_x
_atom_site_fract_y
_atom_site_fract_z
Ru1 0.500 0.500 0.500
Sb1 0.000 0.000 0.000
Sb2 0.250 0.250 0.250
Tc1 0.750 0.750 0.750
# Volume ... 18.69 Å³/atom
# Energy above the lowest structure with this stoichiometry ... 593 meV per atom
# Space-group type ... No. 216
# ΔE_f (raw) ... 0.68 eV per atom


# TcSb2Ru | the Alexandria database | PBE | relaxed
data_TcSb2Ru
_chemical_formula_sum 'Tc1 Sb2 Ru1'
_space_group_name_H-M_alt 'P 1'
_space_group_IT_number 1
_cell_length_a 3.048
_cell_length_b 3.048
_cell_length_c 9.086
_cell_angle_alpha 90.00
_cell_angle_beta 90.00
_cell_angle_gamma 90.00
loop_
_space_group_symop_operation_xyz
'x,y,z'
loop_
_atom_site_label
_atom_site_fract_x
_atom_site_fract_y
_atom_site_fract_z
Ru1 0.500 0.500 0.717
Sb1 0.000 0.000 0.917
Sb2 0.500 0.500 0.331
Tc1 0.000 0.000 0.535
# Volume ... 21.10 Å³/atom
# Energy above the lowest structure with this stoichiometry ... 17 meV per atom
# Space-group type ... No. 99
# ΔE_f (raw) ... 0.11 eV per atom


# TcSb2Ru | the Alexandria database | PBE | relaxed
data_TcSb2Ru
_chemical_formula_sum 'Tc1 Sb2 Ru1'
_space_group_name_H-M_alt 'P 1'
_space_group_IT_number 1
_cell_length_a 3.276
_cell_length_b 3.271
_cell_length_c 7.289
_cell_angle_alpha 63.24
_cell_angle_beta 90.00
_cell_angle_gamma 90.00
loop_
_space_group_symop_operation_xyz
'x,y,z'
loop_
_atom_site_label
_atom_site_fract_x
_atom_site_fract_y
_atom_site_fract_z
Ru1 0.500 0.750 0.750
Sb1 0.000 0.998 0.002
Sb2 0.000 0.502 0.498
Tc1 0.500 0.250 0.250
# Volume ... 17.43 Å³/atom
# Energy above the lowest structure with this stoichiometry ... 22 meV per atom
# Space-group type ... No. 10
# ΔE_f (raw) ... 0.11 eV per atom


# Tc2Sb8Ru | the Alexandria database | PBE | relaxed
data_Tc2Sb8Ru
_chemical_formula_sum 'Tc2 Sb8 Ru1'
_space_group_name_H-M_alt 'P 1'
_space_group_IT_number 1
_cell_length_a 5.204
_cell_length_b 7.690
_cell_length_c 7.690
_cell_angle_alpha 71.48
_cell_angle_beta 86.90
_cell_angle_gamma 86.90
loop_
_space_group_symop_operation_xyz
'x,y,z'
loop_
_atom_site_label
_atom_site_fract_x
_atom_site_fract_y
_atom_site_fract_z
Tc1 0.316 0.609 0.609
Tc2 0.684 0.391 0.391
Sb1 0.296 0.886 0.286
Sb2 0.296 0.286 0.886
Sb3 0.704 0.114 0.714
Sb4 0.189 0.398 0.398
Sb5 0.704 0.714 0.114
Sb6 0.319 0.822 0.822
Sb7 0.681 0.178 0.178
Sb8 0.811 0.602 0.602
Ru1 0.000 0.000 0.000
# Volume ... 26.46 Å³/atom
# Space-group type ... No. 12
# ΔE_f (raw) ... 0.11 eV per atom


# TcSb2Ru | the Alexandria database | PBE | relaxed
data_TcSb2Ru
_chemical_formula_sum 'Tc1 Sb2 Ru1'
_space_group_name_H-M_alt 'P 1'
_space_group_IT_number 1
_cell_length_a 5.016
_cell_length_b 3.194
_cell_length_c 4.525
_cell_angle_alpha 90.00
_cell_angle_beta 90.00
_cell_angle_gamma 90.00
loop_
_space_group_symop_operation_xyz
'x,y,z'
loop_
_atom_site_label
_atom_site_fract_x
_atom_site_fract_y
_atom_site_fract_z
Ru1 0.500 0.875 0.745
Sb1 0.000 0.875 0.989
Sb2 0.500 0.375 0.260
Tc1 0.000 0.375 0.506
# Volume ... 18.13 Å³/atom
# Energy above the lowest structure with this stoichiometry ... 34 meV per atom
# Space-group type ... No. 25
# ΔE_f (raw) ... 0.13 eV per atom


# Tc2SbRu | the Alexandria database | PBE | relaxed
data_Tc2SbRu
_chemical_formula_sum 'Tc2 Sb1 Ru1'
_space_group_name_H-M_alt 'P 1'
_space_group_IT_number 1
_cell_length_a 4.482
_cell_length_b 4.482
_cell_length_c 4.482
_cell_angle_alpha 60.00
_cell_angle_beta 60.00
_cell_angle_gamma 60.00
loop_
_space_group_symop_operation_xyz
'x,y,z'
loop_
_atom_site_label
_atom_site_fract_x
_atom_site_fract_y
_atom_site_fract_z
Ru1 0.500 0.500 0.500
Sb1 0.750 0.750 0.750
Tc1 0.000 0.000 0.000
Tc2 0.250 0.250 0.250
# Volume ... 15.92 Å³/atom
# Space-group type ... No. 216
# ΔE_f (raw) ... 0.26 eV per atom


# Tc2SbRu | the Alexandria database | PBE | relaxed
data_Tc2SbRu
_chemical_formula_sum 'Tc2 Sb1 Ru1'
_space_group_name_H-M_alt 'P 1'
_space_group_IT_number 1
_cell_length_a 4.470
_cell_length_b 3.774
_cell_length_c 3.774
_cell_angle_alpha 90.00
_cell_angle_beta 90.00
_cell_angle_gamma 90.00
loop_
_space_group_symop_operation_xyz
'x,y,z'
loop_
_atom_site_label
_atom_site_fract_x
_atom_site_fract_y
_atom_site_fract_z
Ru1 0.500 0.500 0.000
Sb1 0.500 0.000 0.500
Tc1 0.000 0.000 0.000
Tc2 0.000 0.500 0.500
# Volume ... 15.92 Å³/atom
# Space-group type ... No. 123
# ΔE_f (raw) ... 0.35 eV per atom


# Tc2SbRu | the Alexandria database | PBE | relaxed
data_Tc2SbRu
_chemical_formula_sum 'Tc2 Sb1 Ru1'
_space_group_name_H-M_alt 'P 1'
_space_group_IT_number 1
_cell_length_a 3.110
_cell_length_b 4.462
_cell_length_c 4.581
_cell_angle_alpha 90.00
_cell_angle_beta 90.00
_cell_angle_gamma 90.00
loop_
_space_group_symop_operation_xyz
'x,y,z'
loop_
_atom_site_label
_atom_site_fract_x
_atom_site_fract_y
_atom_site_fract_z
Ru1 0.500 0.000 0.500
Sb1 0.000 0.500 0.500
Tc1 0.000 0.000 0.000
Tc2 0.500 0.500 0.000
# Volume ... 15.90 Å³/atom
# Space-group type ... No. 47
# ΔE_f (raw) ... 0.30 eV per atom


# Tc2SbRu | the Alexandria database | PBE | relaxed
data_Tc2SbRu
_chemical_formula_sum 'Tc2 Sb1 Ru1'
_space_group_name_H-M_alt 'P 1'
_space_group_IT_number 1
_cell_length_a 3.877
_cell_length_b 2.966
_cell_length_c 6.265
_cell_angle_alpha 62.85
_cell_angle_beta 90.00
_cell_angle_gamma 90.00
loop_
_space_group_symop_operation_xyz
'x,y,z'
loop_
_atom_site_label
_atom_site_fract_x
_atom_site_fract_y
_atom_site_fract_z
Ru1 0.000 0.486 0.512
Sb1 0.500 0.771 0.733
Tc1 0.000 0.989 0.033
Tc2 0.500 0.254 0.223
# Volume ... 16.03 Å³/atom
# Space-group type ... No. 6
# ΔE_f (raw) ... 0.24 eV per atom


# Tc2SbRu | the Alexandria database | PBE | relaxed
data_Tc2SbRu
_chemical_formula_sum 'Tc2 Sb1 Ru1'
_space_group_name_H-M_alt 'P 1'
_space_group_IT_number 1
_cell_length_a 4.899
_cell_length_b 4.899
_cell_length_c 2.954
_cell_angle_alpha 89.99
_cell_angle_beta 89.99
_cell_angle_gamma 115.66
loop_
_space_group_symop_operation_xyz
'x,y,z'
loop_
_atom_site_label
_atom_site_fract_x
_atom_site_fract_y
_atom_site_fract_z
Ru1 0.500 0.000 0.500
Sb1 0.000 0.500 0.500
Tc1 0.000 0.000 0.000
Tc2 0.500 0.500 0.000
# Volume ... 15.98 Å³/atom
# Space-group type ... No. 65
# ΔE_f (raw) ... 0.33 eV per atom


# Tc2Sb6Ru | the Alexandria database | PBE | relaxed
data_Tc2Sb6Ru
_chemical_formula_sum 'Tc2 Sb6 Ru1'
_space_group_name_H-M_alt 'P 1'
_space_group_IT_number 1
_cell_length_a 5.760
_cell_length_b 6.635
_cell_length_c 6.635
_cell_angle_alpha 120.00
_cell_angle_beta 90.00
_cell_angle_gamma 90.00
loop_
_space_group_symop_operation_xyz
'x,y,z'
loop_
_atom_site_label
_atom_site_fract_x
_atom_site_fract_y
_atom_site_fract_z
Tc1 0.500 0.667 0.333
Tc2 0.500 0.333 0.667
Sb1 0.751 0.675 0.675
Sb2 0.249 0.675 0.000
Sb3 0.249 0.000 0.675
Sb4 0.751 0.325 0.000
Sb5 0.249 0.325 0.325
Sb6 0.751 0.000 0.325
Ru1 0.000 0.000 0.000
# Volume ... 24.40 Å³/atom
# Space-group type ... No. 162
# ΔE_f (raw) ... 0.07 eV per atom


# Tc2SbRu | the Alexandria database | PBE | relaxed
data_Tc2SbRu
_chemical_formula_sum 'Tc2 Sb1 Ru1'
_space_group_name_H-M_alt 'P 1'
_space_group_IT_number 1
_cell_length_a 2.990
_cell_length_b 2.990
_cell_length_c 7.116
_cell_angle_alpha 90.00
_cell_angle_beta 90.00
_cell_angle_gamma 90.00
loop_
_space_group_symop_operation_xyz
'x,y,z'
loop_
_atom_site_label
_atom_site_fract_x
_atom_site_fract_y
_atom_site_fract_z
Ru1 0.000 0.000 0.496
Sb1 0.500 0.500 0.744
Tc1 0.000 0.000 0.015
Tc2 0.500 0.500 0.245
# Volume ... 15.91 Å³/atom
# Space-group type ... No. 99
# ΔE_f (raw) ... 0.21 eV per atom


# TcSb2Ru | the Alexandria database | PBE | relaxed
data_TcSb2Ru
_chemical_formula_sum 'Tc2 Sb4 Ru2'
_space_group_name_H-M_alt 'P 1'
_space_group_IT_number 1
_cell_length_a 5.981
_cell_length_b 5.981
_cell_length_c 7.215
_cell_angle_alpha 65.51
_cell_angle_beta 65.51
_cell_angle_gamma 90.00
loop_
_space_group_symop_operation_xyz
'x,y,z'
loop_
_atom_site_label
_atom_site_fract_x
_atom_site_fract_y
_atom_site_fract_z
Sb1 0.629 0.125 0.250
Sb2 0.121 0.625 0.250
Sb3 0.375 0.371 0.750
Sb4 0.875 0.879 0.750
Tc1 0.500 0.500 0.000
Tc2 0.250 0.750 0.500
Ru1 0.000 0.000 0.000
Ru2 0.750 0.250 0.500
# Volume ... 26.13 Å³/atom
# Energy above the lowest structure with this stoichiometry ... 593 meV per atom
# Space-group type ... No. 122
# ΔE_f (raw) ... 0.68 eV per atom


# Tc2SbRu | the Alexandria database | PBE | relaxed
data_Tc2SbRu
_chemical_formula_sum 'Tc2 Sb1 Ru1'
_space_group_name_H-M_alt 'P 1'
_space_group_IT_number 1
_cell_length_a 3.075
_cell_length_b 3.075
_cell_length_c 6.671
_cell_angle_alpha 90.00
_cell_angle_beta 90.00
_cell_angle_gamma 90.00
loop_
_space_group_symop_operation_xyz
'x,y,z'
loop_
_atom_site_label
_atom_site_fract_x
_atom_site_fract_y
_atom_site_fract_z
Ru1 0.500 0.500 0.250
Sb1 0.500 0.500 0.750
Tc1 0.000 0.000 0.001
Tc2 0.000 0.000 0.499
# Volume ... 15.77 Å³/atom
# Space-group type ... No. 123
# ΔE_f (raw) ... 0.28 eV per atom


# Tc2SbRu | the Alexandria database | PBE | relaxed
data_Tc2SbRu
_chemical_formula_sum 'Tc2 Sb1 Ru1'
_space_group_name_H-M_alt 'P 1'
_space_group_IT_number 1
_cell_length_a 4.969
_cell_length_b 4.969
_cell_length_c 4.969
_cell_angle_alpha 133.88
_cell_angle_beta 133.88
_cell_angle_gamma 67.28
loop_
_space_group_symop_operation_xyz
'x,y,z'
loop_
_atom_site_label
_atom_site_fract_x
_atom_site_fract_y
_atom_site_fract_z
Ru1 0.250 0.750 0.500
Sb1 0.750 0.250 0.500
Tc1 0.000 0.000 0.000
Tc2 0.500 0.500 0.000
# Volume ... 15.67 Å³/atom
# Space-group type ... No. 139
# ΔE_f (raw) ... 0.19 eV per atom


# Tc2SbRu | the Alexandria database | PBE | relaxed
data_Tc2SbRu
_chemical_formula_sum 'Tc2 Sb1 Ru1'
_space_group_name_H-M_alt 'P 1'
_space_group_IT_number 1
_cell_length_a 5.264
_cell_length_b 5.264
_cell_length_c 5.264
_cell_angle_alpha 145.68
_cell_angle_beta 129.09
_cell_angle_gamma 62.84
loop_
_space_group_symop_operation_xyz
'x,y,z'
loop_
_atom_site_label
_atom_site_fract_x
_atom_site_fract_y
_atom_site_fract_z
Ru1 0.482 0.482 0.000
Sb1 0.251 0.751 0.500
Tc1 0.011 0.011 0.000
Tc2 0.755 0.255 0.500
# Volume ... 15.78 Å³/atom
# Space-group type ... No. 44
# ΔE_f (raw) ... 0.24 eV per atom


# Tc2SbRu | the Alexandria database | PBE | relaxed
data_Tc2SbRu
_chemical_formula_sum 'Tc2 Sb1 Ru1'
_space_group_name_H-M_alt 'P 1'
_space_group_IT_number 1
_cell_length_a 4.815
_cell_length_b 4.815
_cell_length_c 4.768
_cell_angle_alpha 74.49
_cell_angle_beta 74.49
_cell_angle_gamma 37.19
loop_
_space_group_symop_operation_xyz
'x,y,z'
loop_
_atom_site_label
_atom_site_fract_x
_atom_site_fract_y
_atom_site_fract_z
Ru1 0.507 0.507 0.458
Sb1 0.254 0.254 0.292
Tc1 0.002 0.002 0.933
Tc2 0.737 0.737 0.816
# Volume ... 16.02 Å³/atom
# Space-group type ... No. 8
# ΔE_f (raw) ... 0.19 eV per atom


# TcSb2Ru | the Alexandria database | PBE | relaxed
data_TcSb2Ru
_chemical_formula_sum 'Tc1 Sb2 Ru1'
_space_group_name_H-M_alt 'P 1'
_space_group_IT_number 1
_cell_length_a 8.341
_cell_length_b 8.341
_cell_length_c 8.341
_cell_angle_alpha 22.16
_cell_angle_beta 22.16
_cell_angle_gamma 22.16
loop_
_space_group_symop_operation_xyz
'x,y,z'
loop_
_atom_site_label
_atom_site_fract_x
_atom_site_fract_y
_atom_site_fract_z
Ru1 0.750 0.750 0.750
Sb1 0.000 0.000 0.000
Sb2 0.500 0.500 0.500
Tc1 0.250 0.250 0.250
# Volume ... 18.10 Å³/atom
# Energy above the lowest structure with this stoichiometry ... 109 meV per atom
# Space-group type ... No. 166
# ΔE_f (raw) ... 0.20 eV per atom


# Tc2SbRu | the Alexandria database | PBE | relaxed
data_Tc2SbRu
_chemical_formula_sum 'Tc2 Sb1 Ru1'
_space_group_name_H-M_alt 'P 1'
_space_group_IT_number 1
_cell_length_a 4.843
_cell_length_b 4.843
_cell_length_c 4.843
_cell_angle_alpha 131.32
_cell_angle_beta 131.32
_cell_angle_gamma 71.30
loop_
_space_group_symop_operation_xyz
'x,y,z'
loop_
_atom_site_label
_atom_site_fract_x
_atom_site_fract_y
_atom_site_fract_z
Ru1 0.500 0.500 0.000
Sb1 0.750 0.250 0.500
Tc1 0.000 0.000 0.000
Tc2 0.250 0.750 0.500
# Volume ... 15.68 Å³/atom
# Space-group type ... No. 119
# ΔE_f (raw) ... 0.20 eV per atom


# TcSb2Ru | the Alexandria database | PBE | relaxed
data_TcSb2Ru
_chemical_formula_sum 'Tc1 Sb2 Ru1'
_space_group_name_H-M_alt 'P 1'
_space_group_IT_number 1
_cell_length_a 4.626
_cell_length_b 4.626
_cell_length_c 4.626
_cell_angle_alpha 60.00
_cell_angle_beta 60.00
_cell_angle_gamma 60.00
loop_
_space_group_symop_operation_xyz
'x,y,z'
loop_
_atom_site_label
_atom_site_fract_x
_atom_site_fract_y
_atom_site_fract_z
Sb1 0.250 0.250 0.250
Sb2 0.750 0.750 0.750
Tc1 0.000 0.000 0.000
Ru1 0.500 0.500 0.500
# Volume ... 17.51 Å³/atom
# Energy above the lowest structure with this stoichiometry ... 30 meV per atom
# Space-group type ... No. 225
# ΔE_f (raw) ... 0.12 eV per atom